# K2NaMnC

Crystalline K2NaMnC at its relaxed geometry (GGA-PBE, the Alexandria database).

ΔE_f ... 0.5998 eV/atom

```
5
Lattice="-3.2566 1.4938 5.2346 1.4117 -3.0947 1.7614 4.9161 3.4266 2.0806" Properties=species:S:1:pos:R:3 pbc="T T T"
Na 1.5355 0.9129 4.5383
K 2.4580 1.7133 1.0403
K -1.6283 0.7469 2.6173
Mn 0.7058 -1.5474 0.8807
C 0.0000 0.0000 0.0000
```